(1)
The following is a GGA-PBE calculation of an optimized crystal structure of ZnNiB3, from Alexandria.

```
data_ZnNiB3
_cell_length_a 3.813
_cell_length_b 3.813
_cell_length_c 3.813
_cell_angle_alpha 90.00
_cell_angle_beta 90.00
_cell_angle_gamma 90.00
_symmetry_space_group_name_H-M 'P 1'
_symmetry_Int_Tables_number 1
loop_
_symmetry_equiv_pos_as_xyz
'x,y,z'
loop_
_atom_site_label
_atom_site_type_symbol
_atom_site_fract_x
_atom_site_fract_y
_atom_site_fract_z
_atom_site_occupancy
Zn1 Zn 0.500 0.500 0.500 1
B1 B 0.000 0.000 0.500 1
B2 B 0.000 0.500 0.000 1
B3 B 0.500 0.000 0.000 1
Ni1 Ni 0.000 0.000 0.000 1
```

Calculated values
Final energy in eV/cell: -21.57
Relative energy among the computed polymorphs in eV per atom: 0.000
Space group: Pm-3m, No. 221
Energy of formation from the pure elements in eV per formula unit: 5.513

***

(2)
The following is a GGA-PBE calculation of an optimized crystal structure of NdCuRh, from Alexandria.

```
data_NdCuRh
_cell_length_a 3.503
_cell_length_b 3.503
_cell_length_c 5.315
_cell_angle_alpha 109.24
_cell_angle_beta 109.24
_cell_angle_gamma 90.00
_symmetry_space_group_name_H-M 'P 1'
_symmetry_Int_Tables_number 1
loop_
_symmetry_equiv_pos_as_xyz
'x,y,z'
loop_
_atom_site_label
_atom_site_type_symbol
_atom_site_fract_x
_atom_site_fract_y
_atom_site_fract_z
_atom_site_occupancy
Cu1 Cu 0.642 0.642 0.284 1
Rh1 Rh 0.262 0.262 0.523 1
Nd1 Nd 0.947 0.947 0.893 1
```

Calculated values
Final energy in eV/cell: -17.00
Relative energy among the computed polymorphs in eV per atom: 0.213
Space group: I4mm, No. 107
Energy of formation from the pure elements in eV per formula unit: -0.781

***

(3)
The following is a GGA-PBE calculation of an optimized crystal structure of LiPmTm2S4, from Alexandria.

```
data_LiPmTm2S4
_cell_length_a 3.873
_cell_length_b 6.743
_cell_length_c 6.762
_cell_angle_alpha 109.23
_cell_angle_beta 90.00
_cell_angle_gamma 90.00
_symmetry_space_group_name_H-M 'P 1'
_symmetry_Int_Tables_number 1
loop_
_symmetry_equiv_pos_as_xyz
'x,y,z'
loop_
_atom_site_label
_atom_site_type_symbol
_atom_site_fract_x
_atom_site_fract_y
_atom_site_fract_z
_atom_site_occupancy
Tm1 Tm 0.000 0.500 0.500 1
Tm2 Tm 0.500 0.000 0.500 1
S1 S 0.000 0.255 0.744 1
S2 S 0.000 0.745 0.256 1
S3 S 0.500 0.738 0.741 1
S4 S 0.500 0.262 0.259 1
Pm1 Pm 0.000 0.000 0.000 1
Li1 Li 0.500 0.500 0.000 1
```

Calculated values
Final energy in eV/cell: -47.48
Space group: P2/m, No. 10
E_form (uncorrected) in eV per formula unit: -15.36

***

(4)
The following is a GGA-PBE calculation of an optimized crystal structure of La2InP2, from Alexandria.

```
data_La2InP2
_cell_length_a 7.977
_cell_length_b 7.977
_cell_length_c 3.941
_cell_angle_alpha 90.00
_cell_angle_beta 90.00
_cell_angle_gamma 90.00
_symmetry_space_group_name_H-M 'P 1'
_symmetry_Int_Tables_number 1
loop_
_symmetry_equiv_pos_as_xyz
'x,y,z'
loop_
_atom_site_label
_atom_site_type_symbol
_atom_site_fract_x
_atom_site_fract_y
_atom_site_fract_z
_atom_site_occupancy
P1 P 0.347 0.847 0.000 1
P2 P 0.153 0.347 0.000 1
P3 P 0.847 0.653 0.000 1
P4 P 0.653 0.153 0.000 1
In1 In 0.500 0.500 0.000 1
In2 In 0.000 0.000 0.000 1
La1 La 0.846 0.346 0.500 1
La2 La 0.654 0.846 0.500 1
La3 La 0.346 0.154 0.500 1
La4 La 0.154 0.654 0.500 1
```

Calculated values
Final energy in eV/cell: -57.81
Space group: P4/mbm, No. 127
Energy of formation from the pure elements in eV per formula unit: -5.490

***

(5)
The following is a GGA-PBE calculation of an optimized crystal structure of Cu2SnSeS, from Alexandria.

```
data_Cu2SnSeS
_cell_length_a 3.986
_cell_length_b 6.811
_cell_length_c 7.695
_cell_angle_alpha 105.49
_cell_angle_beta 90.00
_cell_angle_gamma 90.00
_symmetry_space_group_name_H-M 'P 1'
_symmetry_Int_Tables_number 1
loop_
_symmetry_equiv_pos_as_xyz
'x,y,z'
loop_
_atom_site_label
_atom_site_type_symbol
_atom_site_fract_x
_atom_site_fract_y
_atom_site_fract_z
_atom_site_occupancy
Cu1 Cu 0.250 0.529 0.891 1
Cu2 Cu 0.750 0.471 0.109 1
Cu3 Cu 0.750 0.500 0.642 1
Cu4 Cu 0.250 0.500 0.358 1
Se1 Se 0.750 0.731 0.434 1
Se2 Se 0.250 0.269 0.566 1
Sn1 Sn 0.750 0.097 0.779 1
Sn2 Sn 0.250 0.903 0.221 1
S1 S 0.750 0.725 0.933 1
S2 S 0.250 0.275 0.067 1
```

Calculated values
Final energy in eV/cell: -41.51
Space group: P2_1/m, No. 11
E_form (uncorrected) in eV per formula unit: -0.95

***

(6)
The following is a GGA-PBE calculation of an optimized crystal structure of Ac8Pr6Mg, from Alexandria.

```
data_Ac8Pr6Mg
_cell_length_a 7.288
_cell_length_b 10.065
_cell_length_c 10.065
_cell_angle_alpha 120.00
_cell_angle_beta 90.00
_cell_angle_gamma 90.00
_symmetry_space_group_name_H-M 'P 1'
_symmetry_Int_Tables_number 1
loop_
_symmetry_equiv_pos_as_xyz
'x,y,z'
loop_
_atom_site_label
_atom_site_type_symbol
_atom_site_fract_x
_atom_site_fract_y
_atom_site_fract_z
_atom_site_occupancy
Pr1 Pr 0.397 0.626 0.674 1
Pr2 Pr 0.603 0.674 0.048 1
Pr3 Pr 0.397 0.326 0.952 1
Pr4 Pr 0.603 0.952 0.626 1
Pr5 Pr 0.397 0.048 0.374 1
Pr6 Pr 0.603 0.374 0.326 1
Mg1 Mg 0.500 0.000 0.000 1
Ac1 Ac 0.881 0.962 0.307 1
Ac2 Ac 0.119 0.038 0.693 1
Ac3 Ac 0.119 0.655 0.962 1
Ac4 Ac 0.119 0.307 0.345 1
Ac5 Ac 0.750 0.333 0.667 1
Ac6 Ac 0.881 0.693 0.655 1
Ac7 Ac 0.881 0.345 0.038 1
Ac8 Ac 0.250 0.667 0.333 1
```

Calculated values
Final energy in eV/cell: -59.81
Space group: P-3, No. 147
Energy of formation from the pure elements in eV per formula unit: 3.325

***

(7)
The following is a GGA-PBE calculation of an optimized crystal structure of LiSmTaN3, from Alexandria.

```
data_LiSmTaN3
_cell_length_a 3.215
_cell_length_b 6.813
_cell_length_c 6.873
_cell_angle_alpha 104.54
_cell_angle_beta 90.00
_cell_angle_gamma 90.00
_symmetry_space_group_name_H-M 'P 1'
_symmetry_Int_Tables_number 1
loop_
_symmetry_equiv_pos_as_xyz
'x,y,z'
loop_
_atom_site_label
_atom_site_type_symbol
_atom_site_fract_x
_atom_site_fract_y
_atom_site_fract_z
_atom_site_occupancy
N1 N 0.250 0.137 0.868 1
N2 N 0.750 0.451 0.162 1
N3 N 0.250 0.782 0.475 1
N4 N 0.250 0.549 0.838 1
N5 N 0.750 0.218 0.525 1
N6 N 0.750 0.863 0.132 1
Li1 Li 0.250 0.078 0.588 1
Li2 Li 0.750 0.922 0.412 1
Sm1 Sm 0.750 0.790 0.761 1
Sm2 Sm 0.250 0.210 0.239 1
Ta1 Ta 0.750 0.324 0.822 1
Ta2 Ta 0.250 0.676 0.178 1
```

Calculated values
Final energy in eV/cell: -99.81
Space group: P2_1/m, No. 11
E_form (uncorrected) in eV per formula unit: -6.45

***

(8)
The following is a GGA-PBE calculation of an optimized crystal structure of Tc2HgSe, from Alexandria.

```
data_Tc2HgSe
_cell_length_a 2.969
_cell_length_b 2.969
_cell_length_c 8.385
_cell_angle_alpha 90.00
_cell_angle_beta 90.00
_cell_angle_gamma 90.00
_symmetry_space_group_name_H-M 'P 1'
_symmetry_Int_Tables_number 1
loop_
_symmetry_equiv_pos_as_xyz
'x,y,z'
loop_
_atom_site_label
_atom_site_type_symbol
_atom_site_fract_x
_atom_site_fract_y
_atom_site_fract_z
_atom_site_occupancy
Hg1 Hg 0.000 0.000 0.455 1
Tc1 Tc 0.500 0.500 0.210 1
Tc2 Tc 0.000 0.000 0.010 1
Se1 Se 0.500 0.500 0.825 1
```

Calculated values
Final energy in eV/cell: -23.86
Relative energy among the computed polymorphs in eV per atom: 0.000
Space group: P4mm, No. 99
E_form (uncorrected) in eV per formula unit: 0.65

***

(9)
The following is a GGA-PBE calculation of an optimized crystal structure of Co2IrCl, from Alexandria.

```
data_Co2IrCl
_cell_length_a 2.840
_cell_length_b 2.840
_cell_length_c 8.102
_cell_angle_alpha 90.00
_cell_angle_beta 90.00
_cell_angle_gamma 120.81
_symmetry_space_group_name_H-M 'P 1'
_symmetry_Int_Tables_number 1
loop_
_symmetry_equiv_pos_as_xyz
'x,y,z'
loop_
_atom_site_label
_atom_site_type_symbol
_atom_site_fract_x
_atom_site_fract_y
_atom_site_fract_z
_atom_site_occupancy
Cl1 Cl 0.500 0.500 0.750 1
Ir1 Ir 0.500 0.500 0.250 1
Co1 Co 0.000 0.000 0.992 1
Co2 Co 0.000 0.000 0.508 1
```

Calculated values
Final energy in eV/cell: -23.03
Relative energy among the computed polymorphs in eV per atom: 0.211
Space group: Cmmm, No. 65
E_form (uncorrected) in eV per formula unit: 1.89